w) Computed, not measured: a relaxed RbReCl3 crystal at the PBE-GGA level of DFT.

The structure belongs to space group P-1 (No. 2); the cell edges are 3.686, 8.760 and 8.917 Å and the angles 116.55°, 92.95° and 90.12°. The distinct sites, in fractional coordinates, are Rb at (0.221, 0.340, 0.169), Re at (0.286, 0.078, 0.592), Cl at (0.249, 0.319, 0.542), Cl at (0.274, 0.950, 0.772) and Cl at (0.312, 0.704, 0.152).

The magnetization comes out at 0.0000 μB per atom. Its density is 4.88 Mg/m³. Its crystal system is triclinic. As for the calculated volume: 25.71 Å³/atom.


x) Computed, not measured: a relaxed RbReCl3 crystal at the PBE-GGA level of DFT.

The structure belongs to space group Pm-3m (No. 221); the cell edges are 5.985, 5.985 and 5.985 Å and the angles 90.00°, 90.00° and 90.00°. The distinct sites, in fractional coordinates, are Rb at (0.000, 0.000, 0.000), Re at (0.500, 0.500, 0.500) and Cl at (0.000, 0.000, 0.500).

The magnetization comes out at 1.3310 μB per atom. Its density is 2.93 Mg/m³. Its crystal system is cubic. As for the calculated volume: 42.88 Å³/atom.


What should be chosen as the most stable of them? Choose w).


w) Computed, not measured: a relaxed Rb2ReCl2 crystal at the PBE-GGA level of DFT.

The structure belongs to space group I4/mmm (No. 139); the cell edges are 6.238, 6.238 and 13.879 Å and the angles 90.00°, 90.00° and 90.00°. The distinct sites, in fractional coordinates, are Rb at (0.000, 0.000, 0.195), Re at (0.000, 0.000, 0.500) and Cl at (0.000, 0.500, 0.250).

The magnetization comes out at 1.0000 μB per atom. Its density is 2.63 Mg/m³. Its crystal system is tetragonal. As for the calculated volume: 54.01 Å³/atom.


x) Computed, not measured: a relaxed Rb2ReCl2 crystal at the PBE-GGA level of DFT.

The structure belongs to space group P4/mbm (No. 127); the cell edges are 9.546, 9.546 and 3.879 Å and the angles 90.00°, 90.00° and 90.00°. The distinct sites, in fractional coordinates, are Rb at (0.142, 0.358, 0.000), Re at (0.000, 0.000, 0.000) and Cl at (0.152, 0.652, 0.500).

The magnetization comes out at 1.0000 μB per atom. Its density is 4.02 Mg/m³. Its crystal system is tetragonal. As for the calculated volume: 35.34 Å³/atom.


What should be chosen as the most stable of them? Choose x).


w) Computed, not measured: a relaxed RbReCl4 crystal at the PBE-GGA level of DFT.

The structure belongs to space group C2/m (No. 12); the cell edges are 18.442, 7.100 and 5.189 Å and the angles 90.00°, 104.51° and 90.00°. The distinct sites, in fractional coordinates, are Rb at (0.204, 0.000, 0.203), Re at (0.046, 0.500, 0.384), Cl at (0.000, 0.287, 0.000), Cl at (0.113, 0.249, 0.605) and Cl at (0.186, 0.500, 0.200).

The magnetization comes out at 0.1616 μB per atom. Its density is 4.18 Mg/m³. Its crystal system is monoclinic. As for the calculated volume: 27.41 Å³/atom.


x) Computed, not measured: a relaxed RbReCl4 crystal at the PBE-GGA level of DFT.

The structure belongs to space group Cmcm (No. 63); the cell edges are 10.990, 14.993 and 12.630 Å and the angles 90.00°, 90.00° and 90.00°. The distinct sites, in fractional coordinates, are Rb at (0.000, 0.248, 0.250), Rb at (0.240, 0.000, 0.000), Re at (0.000, 0.216, 0.652), Re at (0.000, 0.359, 0.750), Cl at (0.000, 0.077, 0.750), Cl at (0.000, 0.130, 0.030), Cl at (0.000, 0.358, 0.557), Cl at (0.000, 0.468, 0.250), Cl at (0.207, 0.201, 0.624) and Cl at (0.209, 0.388, 0.750).

The magnetization comes out at 0.0000 μB per atom. Its density is 3.96 Mg/m³. Its crystal system is orthorhombic. As for the calculated volume: 28.90 Å³/atom.


What should be chosen as the most stable of them? Choose x).